This record from Alexandria via LeMat-Bulk describes crystalline DyMnIrO6 at its relaxed geometry. The functional is PBE+U.

Lattice parameters (Å, degrees): 5.4229 5.4229 8.7775 90.00 90.00 120.00
Atoms (fractional coordinates):
Dy  0.3333  0.6667  0.2500
Dy  0.6667  0.3333  0.7500
Mn  0.0000  0.0000  0.0000
Mn  0.0000  0.0000  0.5000
Ir  0.3333  0.6667  0.7500
Ir  0.6667  0.3333  0.2500
O  0.0433  0.3654  0.6254
O  0.0433  0.6778  0.8746
O  0.3222  0.3654  0.8746
O  0.3222  0.9567  0.6254
O  0.3654  0.0433  0.1254
O  0.3654  0.3222  0.3746
O  0.6346  0.6778  0.6254
O  0.6346  0.9567  0.8746
O  0.6778  0.0433  0.3746
O  0.6778  0.6346  0.1254
O  0.9567  0.3222  0.1254
O  0.9567  0.6346  0.3746

The volume is 12.4 Å³ per atom. The value obtained for the calculated total energy is -129.62 eV for the cell shown. The spin magnetization comes out at 3.0 μB per formula unit.